--- A ---
An optimized crystal structure of SrReSe. Source: the Alexandria database, functional GGA-PBE.

For the theoretical density, the calculation gives 7.8 g cm⁻³. Its density of states at the Fermi level is 2.9 states/eV/cell. The total magnetic moment is 0.40 μB per cell.

The structure in CIF format:
```
data_SrReSe
_space_group_name_H-M_alt 'P 3 m 1'
_space_group_IT_number 156
_space_group_name_Hall 'P 3 -2"'
_cell_length_a 4.1180
_cell_length_b 4.1180
_cell_length_c 5.1091
_cell_angle_alpha 90.00
_cell_angle_beta 90.00
_cell_angle_gamma 120.00
loop_
_atom_site_label
_atom_site_type_symbol
_atom_site_fract_x
_atom_site_fract_y
_atom_site_fract_z
Sr1 Sr 0.0000 0.0000 0.0000
Re1 Re 0.3333 0.6667 0.4786
Se1 Se 0.6667 0.3333 0.5653
```


--- B ---
An optimized crystal structure of SrReSe. Source: the Alexandria database, functional GGA-PBE.

For the theoretical density, the calculation gives 8.2 g cm⁻³. Its density of states at the Fermi level is 20.2 states/eV/cell. The total magnetic moment is 5.17 μB per cell.

The structure in CIF format:
```
data_SrReSe
_space_group_name_H-M_alt 'F -4 3 m'
_space_group_IT_number 216
_space_group_name_Hall 'F -4 2 3'
_cell_length_a 6.596
_cell_length_b 6.596
_cell_length_c 6.596
_cell_angle_alpha 90.00
_cell_angle_beta 90.00
_cell_angle_gamma 90.00
loop_
_atom_site_label
_atom_site_type_symbol
_atom_site_fract_x
_atom_site_fract_y
_atom_site_fract_z
Sr1 Sr 0.000 0.000 0.000
Re1 Re 0.000 0.000 0.500
Se1 Se 0.250 0.250 0.750
```


--- C ---
An optimized crystal structure of SrReSe. Source: the Alexandria database, functional GGA-PBE.

For the theoretical density, the calculation gives 5.8 g cm⁻³. Its density of states at the Fermi level is 8.2 states/eV/cell. The total magnetic moment is 19.92 μB per cell.

The structure in CIF format:
```
data_SrReSe
_space_group_name_H-M_alt 'F -4 3 m'
_space_group_IT_number 216
_space_group_name_Hall 'F -4 2 3'
_cell_length_a 7.388
_cell_length_b 7.388
_cell_length_c 7.388
_cell_angle_alpha 90.00
_cell_angle_beta 90.00
_cell_angle_gamma 90.00
loop_
_atom_site_label
_atom_site_type_symbol
_atom_site_fract_x
_atom_site_fract_y
_atom_site_fract_z
Sr1 Sr 0.000 0.000 0.000
Re1 Re 0.250 0.250 0.250
Se1 Se 0.250 0.250 0.750
```


A ends up most stable, edging out the next structure by 619 meV/atom.